1.
## LaAgIr2 (GGA-PBE)

Data for a geometry-optimized LaAgIr2 structure.

```
LaAgIr2
1.0
-0.9536 0.1611 -4.4458
-0.5288 -4.5187 -0.0504
-9.8350 -1.1368 -0.2597
Ir Ag La
4 2 2
direct
0.3750 0.5299 0.7500
0.4701 0.1250 0.2500
0.8750 0.7201 0.7500
0.2799 0.6250 0.2500
0.2500 0.7500 0.5000
0.5000 0.5000 0.0000
0.7500 0.2500 0.5000
0.0000 0.0000 0.0000
```

Results
E_form = 92 meV/atom
Energy above the most stable polymorph in this dataset = 178 meV/atom

2.
## VMoRh2 (GGA-PBE)

Data for a geometry-optimized VMoRh2 structure.

```
VMoRh2
1.0
-1.6551 -2.9023 2.8322
-3.0553 1.2476 2.8797
-4.1298 -1.3882 -0.4492
Mo V Rh
1 1 2
direct
0.5000 0.5000 0.5000
0.0000 0.0000 0.0000
0.2500 0.2500 0.2500
0.7500 0.7500 0.7500
```

Results
E_form = 86 meV/atom
Energy above the most stable polymorph in this dataset = 355 meV/atom

3.
## CePmGdHg (GGA-PBE)

Data for a geometry-optimized CePmGdHg structure.

```
CePmGdHg
1.0
-0.1455 4.8182 -2.5790
-2.7576 4.1861 2.1818
2.7070 4.2827 2.0540
Ce Gd Pm Hg
1 1 1 1
direct
0.7500 0.7500 0.7500
0.2500 0.2500 0.2500
0.0000 0.0000 0.0000
0.5000 0.5000 0.5000
```

Results
E_form = -32 meV/atom

Q: What is the formula in the third record?
A: CePmGdHg

Q: Which of these has the lowest E_form?
A: CePmGdHg